No. 1
Material: Ca2Cu2Ge3
Method: DFT, PBE
State: relaxed

Values from the calculation:
Space group   No. 12
ΔE to the lowest computed polymorph   0.120 eV/atom
E_form   -0.3180 eV/atom

```
Ca2Cu2Ge3
1.0
5.257 -2.090 0.000
5.257 2.090 0.000
-2.795 0.000 6.194
Ca Cu Ge
2 2 3
Direct
0.149 0.149 0.282
0.851 0.851 0.718
0.144 0.144 0.765
0.856 0.856 0.235
0.391 0.391 0.055
0.500 0.500 0.500
0.609 0.609 0.945
```



No. 2
Material: CaCuGe
Method: DFT, PBE
State: relaxed

Values from the calculation:
Space group   No. 59
E_form   -0.4779 eV/atom

```
CaCuGe
1.0
4.370 0.000 0.000
0.000 14.260 0.000
0.000 0.000 7.489
Ca Cu Ge
8 8 8
Direct
0.250 0.002 0.211
0.250 0.250 0.298
0.250 0.498 0.211
0.250 0.750 0.297
0.750 0.250 0.703
0.750 0.502 0.789
0.750 0.750 0.702
0.750 0.998 0.789
0.250 0.147 0.916
0.250 0.353 0.916
0.250 0.594 0.581
0.250 0.906 0.581
0.750 0.094 0.419
0.750 0.406 0.419
0.750 0.647 0.084
0.750 0.853 0.084
0.250 0.100 0.590
0.250 0.400 0.590
0.250 0.654 0.914
0.250 0.846 0.914
0.750 0.154 0.086
0.750 0.346 0.086
0.750 0.600 0.410
0.750 0.900 0.410
```



No. 3
Material: CaCuGe
Method: DFT, PBE
State: relaxed

Values from the calculation:
Space group   No. 62
E_form   -0.4661 eV/atom

```
CaCuGe
1.0
7.148 0.000 0.000
0.000 4.342 0.000
0.000 0.000 7.510
Ca Cu Ge
4 4 4
Direct
0.003 0.250 0.202
0.497 0.750 0.702
0.503 0.250 0.298
0.997 0.750 0.798
0.186 0.750 0.419
0.314 0.250 0.919
0.686 0.750 0.081
0.814 0.250 0.581
0.194 0.250 0.590
0.306 0.750 0.090
0.694 0.250 0.910
0.806 0.750 0.410
```



No. 4
Material: CaCu3Ge3
Method: DFT, PBE
State: relaxed

Values from the calculation:
Space group   No. 223
E_form   0.0909 eV/atom

```
CaCu3Ge3
1.0
6.675 0.000 0.000
0.000 6.675 0.000
0.000 0.000 6.675
Ca Cu Ge
2 6 6
Direct
0.000 0.000 0.000
0.500 0.500 0.500
0.000 0.250 0.500
0.000 0.750 0.500
0.250 0.500 0.000
0.500 0.000 0.250
0.500 0.000 0.750
0.750 0.500 0.000
0.000 0.500 0.250
0.000 0.500 0.750
0.250 0.000 0.500
0.500 0.250 0.000
0.500 0.750 0.000
0.750 0.000 0.500
```